5
Lattice="4.440 0.000 0.000 0.000 4.440 0.000 0.000 0.000 4.485" Properties=species:S:1:pos:R:3 comment="PBE-GGA CdBiO2F, relaxed" raw_formation_energy_ev_per_fu=-4.607 space_group="No. 123" dft_energy_ev_per_atom=-4.24 n_ef_per_ev_atom=0.436 vol_a3_per_cell=88.4 total_magnetization_mub_per_fu=0.00 pbc="T T T"
Cd 2.220 2.220 2.243
F 0.000 0.000 2.243
Bi 0.000 0.000 0.000
O 2.220 0.000 0.000
O 0.000 2.220 0.000

***

4
Lattice="5.347 0.000 0.000 2.673 4.630 0.000 2.673 1.543 4.366" Properties=species:S:1:pos:R:3 comment="PBE-GGA LiSmGdIn, relaxed" space_group="No. 216" dft_energy_ev_per_atom=-6.14 n_ef_per_ev_atom=0.871 vol_a3_per_cell=108.1 total_magnetization_mub_per_fu=7.84 pbc="T T T"
Li 5.347 3.087 2.183
In 0.000 0.000 0.000
Sm 2.673 1.543 1.091
Gd 8.020 4.630 3.274

***

4
Lattice="4.178 0.000 0.000 0.000 4.178 0.000 0.000 0.000 9.125" Properties=species:S:1:pos:R:3 comment="PBE-GGA Sr2PbSe, relaxed" raw_formation_energy_ev_per_fu=-4.055 space_group="No. 99" polymorph_energy_ev_per_atom=0.186 dft_energy_ev_per_atom=-3.65 n_ef_per_ev_atom=0.723 vol_a3_per_cell=159.3 total_magnetization_mub_per_fu=0.00 pbc="T T T"
Sr 0.000 0.000 7.686
Sr 2.089 2.089 2.376
Se 2.089 2.089 8.504
Pb 0.000 0.000 4.247

***

10
Lattice="6.846 0.000 0.000 0.000 6.846 0.000 0.000 0.000 3.003" Properties=species:S:1:pos:R:3 comment="PBE-GGA ReMo2S2, relaxed" raw_formation_energy_ev_per_fu=1.060 space_group="No. 127" polymorph_energy_ev_per_atom=0.000 dft_energy_ev_per_atom=-8.26 n_ef_per_ev_atom=0.741 vol_a3_per_cell=140.7 total_magnetization_mub_per_fu=0.00 pbc="T T T"
S 1.078 2.345 0.000
S 2.345 5.768 0.000
S 5.768 4.501 0.000
S 4.501 1.078 0.000
Mo 4.448 5.821 1.501
Mo 2.398 1.025 1.501
Mo 5.821 2.398 1.501
Mo 1.025 4.448 1.501
Re 3.423 3.423 0.000
Re 0.000 0.000 0.000

***

5
Lattice="-6.093 -2.210 -1.786 2.697 -3.169 -5.280 1.025 -6.313 4.313" Properties=species:S:1:pos:R:3 comment="PBE-GGA BaSbCI2, relaxed" raw_formation_energy_ev_per_fu=5.987 space_group="No. 123" polymorph_energy_ev_per_atom=0.894 dft_energy_ev_per_atom=-2.48 n_ef_per_ev_atom=0.670 vol_a3_per_cell=348.7 total_magnetization_mub_per_fu=4.98 pbc="T T T"
I 1.349 -1.585 -2.640
I -3.047 -1.105 -0.893
C -1.185 -5.846 -1.376
Sb 0.513 -3.157 2.157
Ba 0.000 0.000 0.000

***

12
Lattice="-2.489 1.020 2.922 -0.188 -5.885 1.895 7.792 1.698 6.046" Properties=species:S:1:pos:R:3 comment="PBE-GGA DySF, relaxed" raw_formation_energy_ev_per_fu=-8.811 space_group="No. 62" dft_energy_ev_per_atom=-6.47 n_ef_per_ev_atom=0.000 vol_a3_per_cell=245.9 total_magnetization_mub_per_fu=0.00 pbc="T T T"
F 5.621 -2.994 7.184
F 1.740 -3.387 4.014
F 3.376 0.220 6.848
F -0.506 -0.173 3.679
Dy 4.594 0.944 4.934
Dy 0.633 -1.946 2.568
Dy 0.521 -4.111 5.928
Dy 4.482 -1.221 8.294
S 2.586 -2.946 7.281
S 6.406 0.027 6.798
S -1.291 -3.193 4.064
S 2.529 -0.220 3.581

***

9
Lattice="-2.427 -1.757 -5.560 6.855 -3.029 -2.035 -5.247 -4.389 3.677" Properties=species:S:1:pos:R:3 comment="PBE-GGA NaBi2Br6, relaxed" raw_formation_energy_ev_per_fu=-6.959 space_group="No. 162" polymorph_energy_ev_per_atom=0.006 dft_energy_ev_per_atom=-2.90 n_ef_per_ev_atom=0.474 vol_a3_per_cell=329.9 total_magnetization_mub_per_fu=0.00 pbc="T T T"
Bi -2.426 -4.814 -1.007
Bi 1.608 -4.361 -2.911
Br -0.067 -3.026 -0.862
Br -3.622 -2.827 -2.852
Br 0.576 -2.355 -4.834
Br -1.394 -6.820 0.916
Br 2.804 -6.348 -1.065
Br -0.751 -6.150 -3.055
Na 1.609 -7.418 1.642

***

16
Lattice="3.909 0.000 0.000 -1.955 4.150 0.000 0.000 0.000 15.361" Properties=species:S:1:pos:R:3 comment="PBE-GGA Li2Ge3Pd3, relaxed" space_group="No. 63" dft_energy_ev_per_atom=-4.57 n_ef_per_ev_atom=0.377 vol_a3_per_cell=249.2 total_magnetization_mub_per_fu=0.00 pbc="T T T"
Pd 0.000 2.940 14.677
Pd 1.955 1.209 6.996
Pd 0.000 3.579 11.521
Pd 1.955 0.571 3.840
Pd 1.955 1.209 0.684
Pd 0.000 2.940 8.365
Li 1.955 2.158 12.979
Li 1.955 2.158 10.062
Li 0.000 1.992 5.299
Li 0.000 1.992 2.382
Ge 1.955 3.669 6.456
Ge 1.955 3.669 1.225
Ge 0.000 1.007 11.521
Ge 0.000 0.480 14.136
Ge 1.955 3.143 3.840
Ge 0.000 0.480 8.905